# 1
This record from the Alexandria database describes a relaxed structure of Tb6ErTm3. The functional is PBE.

calculated formation energy	0.149	eV per atom
energy above the most stable polymorph in this dataset	22.5	meV/atom
magnetic moment	0.00	μB/f.u.
symmetry	No. 36
uncorrected energy	-4.43	eV per atom

Cell and atoms, written as CIF:
```
data_Tb6ErTm3
_space_group_name_H-M_alt 'P 1'
_space_group_IT_number 1
_space_group_name_Hall 'P 1'
_cell_length_a 6.1407
_cell_length_b 10.9013
_cell_length_c 10.9013
_cell_angle_alpha 119.89
_cell_angle_beta 90.00
_cell_angle_gamma 90.00
loop_
_atom_site_label
_atom_site_fract_x
_atom_site_fract_y
_atom_site_fract_z
_atom_site_occupancy
Tb1 0.8561 0.9518 0.5315 1
Tb2 0.4207 0.9541 0.0459 1
Tb3 0.6475 0.2799 0.7201 1
Tb4 0.9207 0.0459 0.9541 1
Tb5 0.3561 0.5315 0.9518 1
Tb6 0.1475 0.7201 0.2799 1
Tb7 0.3561 0.0482 0.4685 1
Tb8 0.5370 0.6196 0.7106 1
Tb9 0.0370 0.3804 0.2894 1
Tb10 0.8561 0.4685 0.0482 1
Tb11 0.5370 0.2894 0.3804 1
Tb12 0.0370 0.7106 0.6196 1
Tm1 0.0720 0.3891 0.6109 1
Tm2 0.9596 0.0592 0.2778 1
Tm3 0.5720 0.6109 0.3891 1
Tm4 0.9596 0.7222 0.9408 1
Tm5 0.4596 0.2778 0.0592 1
Tm6 0.4596 0.9408 0.7222 1
Er1 0.1395 0.2048 0.7952 1
Er2 0.6395 0.7952 0.2048 1
```

# 2
This record from the Alexandria database describes a relaxed structure of LiCd5Ag. The functional is PBE.

calculated formation energy	-0.090	eV per atom
energy above the most stable polymorph in this dataset	0.0	meV/atom
magnetic moment	0.00	μB/f.u.
symmetry	No. 11
uncorrected energy	-1.42	eV per atom

Cell and atoms, written as CIF:
```
data_LiCd5Ag
_space_group_name_H-M_alt 'P 1'
_space_group_IT_number 1
_space_group_name_Hall 'P 1'
_cell_length_a 2.9989
_cell_length_b 7.6589
_cell_length_c 12.4412
_cell_angle_alpha 92.08
_cell_angle_beta 90.00
_cell_angle_gamma 90.00
loop_
_atom_site_label
_atom_site_fract_x
_atom_site_fract_y
_atom_site_fract_z
_atom_site_occupancy
Li1 0.7500 0.6112 0.6824 1
Li2 0.2500 0.3888 0.3176 1
Cd1 0.2500 0.6701 0.4753 1
Cd2 0.7500 0.1442 0.9394 1
Cd3 0.2500 0.4216 0.0939 1
Cd4 0.7500 0.7143 0.2563 1
Cd5 0.2500 0.8558 0.0606 1
Cd6 0.2500 0.0431 0.3874 1
Cd7 0.2500 0.2857 0.7437 1
Cd8 0.7500 0.3299 0.5247 1
Cd9 0.7500 0.9569 0.6126 1
Cd10 0.7500 0.5784 0.9061 1
Ag1 0.7500 0.1300 0.1919 1
Ag2 0.2500 0.8700 0.8081 1
```

# 3
This record from the Alexandria database describes a relaxed structure of CrReOs2. The functional is PBE.

calculated formation energy	0.391	eV per atom
energy above the most stable polymorph in this dataset	316.8	meV/atom
magnetic moment	2.35	μB/f.u.
symmetry	No. 123
uncorrected energy	-10.74	eV per atom

Cell and atoms, written as CIF:
```
data_CrReOs2
_space_group_name_H-M_alt 'P 1'
_space_group_IT_number 1
_space_group_name_Hall 'P 1'
_cell_length_a 4.4802
_cell_length_b 4.4802
_cell_length_c 2.8760
_cell_angle_alpha 90.00
_cell_angle_beta 90.00
_cell_angle_gamma 90.00
loop_
_atom_site_label
_atom_site_fract_x
_atom_site_fract_y
_atom_site_fract_z
_atom_site_occupancy
Os1 0.0000 0.0000 0.0000 1
Os2 0.5000 0.5000 0.0000 1
Re1 0.5000 0.0000 0.5000 1
Cr1 0.0000 0.5000 0.5000 1
```

# 4
This record from the Alexandria database describes a relaxed structure of TbThGa2Rh5. The functional is PBE.

calculated formation energy	-0.697	eV per atom
magnetic moment	0.00	μB/f.u.
symmetry	No. 123
uncorrected energy	-6.79	eV per atom

Cell and atoms, written as CIF:
```
data_TbThGa2Rh5
_space_group_name_H-M_alt 'P 1'
_space_group_IT_number 1
_space_group_name_Hall 'P 1'
_cell_length_a 4.4848
_cell_length_b 4.4848
_cell_length_c 8.0273
_cell_angle_alpha 90.00
_cell_angle_beta 90.00
_cell_angle_gamma 90.00
loop_
_atom_site_label
_atom_site_fract_x
_atom_site_fract_y
_atom_site_fract_z
_atom_site_occupancy
Rh1 0.0000 0.5000 0.7326 1
Rh2 0.5000 0.0000 0.7326 1
Rh3 0.5000 0.0000 0.2674 1
Rh4 0.0000 0.5000 0.2674 1
Rh5 0.5000 0.5000 0.5000 1
Th1 0.0000 0.0000 0.0000 1
Ga1 0.5000 0.5000 0.8423 1
Ga2 0.5000 0.5000 0.1577 1
Tb1 0.0000 0.0000 0.5000 1
```

# 5
This record from the Alexandria database describes a relaxed structure of Ta2Ti4Si. The functional is PBE.

uncorrected formation energy	686	meV/atom
magnetic moment	1.22	μB/f.u.
symmetry	No. 139
uncorrected energy	-7.99	eV per atom

Cell and atoms, written as CIF:
```
data_Ta2Ti4Si
_space_group_name_H-M_alt 'P 1'
_space_group_IT_number 1
_space_group_name_Hall 'P 1'
_cell_length_a 4.6273
_cell_length_b 4.6273
_cell_length_c 7.2725
_cell_angle_alpha 71.45
_cell_angle_beta 71.45
_cell_angle_gamma 90.00
loop_
_atom_site_label
_atom_site_fract_x
_atom_site_fract_y
_atom_site_fract_z
_atom_site_occupancy
Ti1 0.0000 0.5000 0.0000 1
Ti2 0.8132 0.8132 0.3736 1
Ti3 0.1868 0.1868 0.6264 1
Ti4 0.5000 0.0000 0.0000 1
Ta1 0.6094 0.6094 0.7813 1
Ta2 0.3906 0.3906 0.2187 1
Si1 0.0000 0.0000 0.0000 1
```

# 6
This record from the Alexandria database describes a relaxed structure of CoNi2Se. The functional is PBE.

uncorrected formation energy	304	meV/atom
magnetic moment	2.46	μB/f.u.
symmetry	No. 160
uncorrected energy	-5.23	eV per atom

Cell and atoms, written as CIF:
```
data_CoNi2Se
_space_group_name_H-M_alt 'P 1'
_space_group_IT_number 1
_space_group_name_Hall 'P 1'
_cell_length_a 7.7213
_cell_length_b 7.7213
_cell_length_c 7.7213
_cell_angle_alpha 20.91
_cell_angle_beta 20.91
_cell_angle_gamma 20.91
loop_
_atom_site_label
_atom_site_fract_x
_atom_site_fract_y
_atom_site_fract_z
_atom_site_occupancy
Co1 0.7501 0.7501 0.7501 1
Ni1 0.2492 0.2492 0.2492 1
Ni2 0.0009 0.0009 0.0009 1
Se1 0.4998 0.4998 0.4998 1
```

# 7
This record from the Alexandria database describes a relaxed structure of AcH3Pd3. The functional is PBE.

energy above the most stable polymorph in this dataset	0.0	meV/atom
magnetic moment	0.00	μB/f.u.
symmetry	No. 148
uncorrected energy	-4.72	eV per atom

Cell and atoms, written as CIF:
```
data_AcH3Pd3
_space_group_name_H-M_alt 'P 1'
_space_group_IT_number 1
_space_group_name_Hall 'P 1'
_cell_length_a 7.5248
_cell_length_b 7.5248
_cell_length_c 5.7513
_cell_angle_alpha 49.14
_cell_angle_beta 49.14
_cell_angle_gamma 60.00
loop_
_atom_site_label
_atom_site_fract_x
_atom_site_fract_y
_atom_site_fract_z
_atom_site_occupancy
Pd1 0.3208 0.8654 0.6816 1
Pd2 0.1346 0.8678 0.3184 1
Pd3 0.1322 0.3208 0.6816 1
Pd4 0.8678 0.6792 0.3184 1
Pd5 0.8654 0.1322 0.6816 1
Pd6 0.6792 0.1346 0.3184 1
Ac1 0.6649 0.6649 0.0054 1
Ac2 0.3351 0.3351 0.9946 1
H1 0.1029 0.7947 0.7137 1
H2 0.7947 0.3887 0.7137 1
H3 0.2053 0.6113 0.2863 1
H4 0.6113 0.8971 0.2863 1
H5 0.8971 0.2053 0.2863 1
H6 0.3887 0.1029 0.7137 1
```

# 8
This record from the Alexandria database describes a relaxed structure of Mn2FeTc. The functional is PBE.

calculated formation energy	0.052	eV per atom
magnetic moment	0.58	μB/f.u.
symmetry	No. 119
uncorrected energy	-9.24	eV per atom

Cell and atoms, written as CIF:
```
data_Mn2FeTc
_space_group_name_H-M_alt 'P 1'
_space_group_IT_number 1
_space_group_name_Hall 'P 1'
_cell_length_a 4.4592
_cell_length_b 4.4592
_cell_length_c 4.4592
_cell_angle_alpha 131.79
_cell_angle_beta 131.79
_cell_angle_gamma 70.57
loop_
_atom_site_label
_atom_site_fract_x
_atom_site_fract_y
_atom_site_fract_z
_atom_site_occupancy
Fe1 0.7500 0.2500 0.5000 1
Mn1 0.0000 0.0000 0.0000 1
Mn2 0.2500 0.7500 0.5000 1
Tc1 0.5000 0.5000 0.0000 1
```

# 9
This record from the Alexandria database describes a relaxed structure of Be2ReAu. The functional is PBE.

calculated formation energy	0.059	eV per atom
energy above the most stable polymorph in this dataset	63.4	meV/atom
magnetic moment	0.00	μB/f.u.
symmetry	No. 65
uncorrected energy	-5.74	eV per atom

Cell and atoms, written as CIF:
```
data_Be2ReAu
_space_group_name_H-M_alt 'P 1'
_space_group_IT_number 1
_space_group_name_Hall 'P 1'
_cell_length_a 2.6735
_cell_length_b 2.6735
_cell_length_c 7.3403
_cell_angle_alpha 90.00
_cell_angle_beta 90.00
_cell_angle_gamma 104.31
loop_
_atom_site_label
_atom_site_fract_x
_atom_site_fract_y
_atom_site_fract_z
_atom_site_occupancy
Be1 0.0000 0.0000 0.0097 1
Be2 0.0000 0.0000 0.4903 1
Re1 0.5000 0.5000 0.2500 1
Au1 0.5000 0.5000 0.7500 1
```

# 10
This record from the Alexandria database describes a relaxed structure of BaMnRh2. The functional is PBE.

calculated formation energy	0.847	eV per atom
magnetic moment	1.04	μB/f.u.
symmetry	No. 225
uncorrected energy	-5.60	eV per atom

Cell and atoms, written as CIF:
```
data_BaMnRh2
_space_group_name_H-M_alt 'P 1'
_space_group_IT_number 1
_space_group_name_Hall 'P 1'
_cell_length_a 4.7706
_cell_length_b 4.7706
_cell_length_c 4.7706
_cell_angle_alpha 60.00
_cell_angle_beta 60.00
_cell_angle_gamma 60.00
loop_
_atom_site_label
_atom_site_fract_x
_atom_site_fract_y
_atom_site_fract_z
_atom_site_occupancy
Rh1 0.2500 0.2500 0.2500 1
Rh2 0.7500 0.7500 0.7500 1
Mn1 0.0000 0.0000 0.0000 1
Ba1 0.5000 0.5000 0.5000 1
```

# 11
This record from the Alexandria database describes a relaxed structure of Li3Ge4Pd2Rh2. The functional is PBE.

calculated formation energy	-0.483	eV per atom
magnetic moment	0.00	μB/f.u.
symmetry	No. 164
uncorrected energy	-4.96	eV per atom

Cell and atoms, written as CIF:
```
data_Li3Ge4Pd2Rh2
_space_group_name_H-M_alt 'P 1'
_space_group_IT_number 1
_space_group_name_Hall 'P 1'
_cell_length_a 4.2972
_cell_length_b 4.2972
_cell_length_c 10.4025
_cell_angle_alpha 90.00
_cell_angle_beta 90.00
_cell_angle_gamma 120.00
loop_
_atom_site_label
_atom_site_fract_x
_atom_site_fract_y
_atom_site_fract_z
_atom_site_occupancy
Pd1 0.3333 0.6667 0.0986 1
Pd2 0.6667 0.3333 0.9014 1
Li1 0.0000 0.0000 0.0000 1
Li2 0.0000 0.0000 0.7308 1
Li3 0.0000 0.0000 0.2692 1
Ge1 0.6667 0.3333 0.1560 1
Ge2 0.6667 0.3333 0.6423 1
Ge3 0.3333 0.6667 0.3577 1
Ge4 0.3333 0.6667 0.8440 1
Rh1 0.6667 0.3333 0.4030 1
Rh2 0.3333 0.6667 0.5970 1
```

# 12
This record from the Alexandria database describes a relaxed structure of LiTbSm2. The functional is PBE.

calculated formation energy	0.125	eV per atom
energy above the most stable polymorph in this dataset	57.9	meV/atom
magnetic moment	0.00	μB/f.u.
symmetry	No. 156
uncorrected energy	-3.87	eV per atom

Cell and atoms, written as CIF:
```
data_LiTbSm2
_space_group_name_H-M_alt 'P 1'
_space_group_IT_number 1
_space_group_name_Hall 'P 1'
_cell_length_a 3.5266
_cell_length_b 3.5266
_cell_length_c 11.8309
_cell_angle_alpha 90.00
_cell_angle_beta 90.00
_cell_angle_gamma 120.00
loop_
_atom_site_label
_atom_site_fract_x
_atom_site_fract_y
_atom_site_fract_z
_atom_site_occupancy
Li1 0.6667 0.3333 0.5238 1
Sm1 0.6667 0.3333 0.2503 1
Sm2 0.3333 0.6667 0.7622 1
Tb1 0.0000 0.0000 0.0087 1
```